An optimized crystal structure of HfTiSi2Sn. Source: Alexandria, functional PBE.

Calculated values
Raw formation energy (meV/atom): 872
Calculated total energy (hartree per atom): -0.20829
DOS(E_F) (states/eV/atom): 1.2274
Volume (Å³ per cell): 126

Unit cell a=5.054 b=4.939 c=5.054 alpha=90.00 beta=90.00 gamma=90.00
Element x y z (fractional)
Si 0.000 0.000 0.500
Si 0.500 0.000 0.000
Hf 0.000 0.000 0.000
Sn 0.500 0.500 0.500
Ti 0.000 0.500 0.000

=====

An optimized crystal structure of Rb4SBr2. Source: Alexandria, functional PBE.

Calculated values
Raw formation energy (meV/atom): -1367
Energy relative to the lowest polymorph listed for this composition (meV/atom): 0
Calculated total energy (hartree per atom): -0.10978
Volume (Å³ per cell): 334

Unit cell a=4.940 b=8.785 c=9.473 alpha=121.35 beta=105.11 gamma=90.00
Element x y z (fractional)
Rb 0.880 0.159 0.761
Rb 0.120 0.841 0.239
Rb 0.628 0.252 0.256
Rb 0.372 0.748 0.744
S 0.000 0.000 0.000
Br 0.702 0.712 0.405
Br 0.298 0.288 0.595

=====

An optimized crystal structure of LiLaCr2. Source: Alexandria, functional PBE.

Calculated values
Energy relative to the lowest polymorph listed for this composition (meV/atom): 46
Calculated total energy (hartree per atom): -0.22380
DOS(E_F) (states/eV/atom): 0.8259
Volume (Å³ per cell): 80

Unit cell a=4.836 b=4.836 c=4.836 alpha=119.95 beta=119.95 gamma=90.09
Element x y z (fractional)
Cr 0.000 0.000 0.000
Cr 0.250 0.750 0.500
La 0.500 0.500 0.000
Li 0.750 0.250 0.500

=====

An optimized crystal structure of CaCd3Pt8. Source: Alexandria, functional PBE.

Calculated values
Calculated total energy (hartree per atom): -0.17705
DOS(E_F) (states/eV/atom): 1.1545
Volume (Å³ per cell): 220

Unit cell a=5.399 b=5.399 c=9.266 alpha=73.06 beta=73.06 gamma=60.00
Element x y z (fractional)
Ca 0.876 0.876 0.373
Cd 0.374 0.374 0.877
Cd 0.003 0.003 0.992
Cd 0.496 0.496 0.513
Pt 0.939 0.438 0.185
Pt 0.436 0.938 0.688
Pt 0.438 0.438 0.185
Pt 0.938 0.938 0.688
Pt 0.188 0.188 0.437
Pt 0.688 0.688 0.937
Pt 0.438 0.939 0.185
Pt 0.938 0.436 0.688

=====

An optimized crystal structure of Mg2Al2Re. Source: Alexandria, functional PBE.

Calculated values
Energy relative to the lowest polymorph listed for this composition (meV/atom): 0
Calculated total energy (hartree per atom): -0.15997
DOS(E_F) (states/eV/atom): 0.6690
Volume (Å³ per cell): 180

Unit cell a=6.669 b=6.669 c=4.053 alpha=90.00 beta=90.00 gamma=90.00
Element x y z (fractional)
Re 0.000 0.000 0.000
Re 0.500 0.500 0.000
Mg 0.170 0.670 0.500
Mg 0.670 0.830 0.500
Mg 0.830 0.330 0.500
Mg 0.330 0.170 0.500
Al 0.357 0.857 0.000
Al 0.857 0.643 0.000
Al 0.643 0.143 0.000
Al 0.143 0.357 0.000

=====

An optimized crystal structure of TlZnAsSe2. Source: Alexandria, functional PBE.

Calculated values
Raw formation energy (meV/atom): 888
Energy relative to the lowest polymorph listed for this composition (meV/atom): 639
Calculated total energy (hartree per atom): -0.07952
DOS(E_F) (states/eV/atom): 1.2632
Volume (Å³ per cell): 161

Unit cell a=5.424 b=5.424 c=5.464 alpha=90.00 beta=90.00 gamma=90.00
Element x y z (fractional)
Zn 0.500 0.500 0.500
Tl 0.000 0.000 0.000
As 0.000 0.000 0.500
Se 0.000 0.500 0.000
Se 0.500 0.000 0.000

=====

An optimized crystal structure of Sc6Cu5Si. Source: Alexandria, functional PBE.

Calculated values
Raw formation energy (meV/atom): -358
Calculated total energy (hartree per atom): -0.20882
DOS(E_F) (states/eV/atom): 0.6952
Volume (Å³ per cell): 209

Unit cell a=4.609 b=6.535 c=7.296 alpha=90.00 beta=71.59 gamma=90.00
Element x y z (fractional)
Sc 0.833 0.748 0.334
Sc 0.833 0.252 0.334
Sc 0.500 0.251 0.000
Sc 0.500 0.749 0.000
Sc 0.167 0.748 0.666
Sc 0.167 0.252 0.666
Si 0.000 0.000 0.000
Cu 0.666 0.500 0.667
Cu 0.331 0.000 0.338
Cu 0.000 0.500 0.000
Cu 0.669 0.000 0.662
Cu 0.334 0.500 0.333

=====

An optimized crystal structure of KZrTl. Source: Alexandria, functional PBE.

Calculated values
Energy relative to the lowest polymorph listed for this composition (meV/atom): 359
Calculated total energy (hartree per atom): -0.13310
DOS(E_F) (states/eV/atom): 0.8301
Volume (Å³ per cell): 102

Unit cell a=7.294 b=7.294 c=7.294 alpha=154.65 beta=142.18 gamma=46.08
Element x y z (fractional)
K 0.992 0.992 0.000
Tl 0.291 0.291 0.000
Zr 0.717 0.717 0.000